Material: K2UTlSe4
Method: DFT, PBE
State: relaxed

Geometry as POSCAR:
```
K2UTlSe4
1.0
-0.858 -0.239 4.230
7.707 -0.370 1.542
2.716 7.454 0.972
K U Tl Se
2 1 1 4
Direct
0.000 0.000 0.000
0.500 0.000 0.500
0.000 0.500 0.500
0.500 0.500 0.000
0.000 0.706 0.711
0.000 0.294 0.289
0.500 0.702 0.296
0.500 0.298 0.704
```

Values from the calculation:
- Total energy: -0.352 Ry/atom
- Symmetry: P2/m, No. 10
- Formation energy without anion corrections: -1.07 eV per atom